Record 1
## Dy3Er3Th4 (PBE-GGA)

Data for Dy3Er3Th4 after structural relaxation.

- total magnetic moment (μB/cell) = 0.000
- symmetry = Amm2, No. 38
- calculated total energy (eV for the cell shown) = -54.8
- E_form (kJ/mol of atoms) = 22.5

Cell: 3.8089 9.2834 9.2834 Å, 90.10 90.00 90.00°
With the nearest neighbours (Å) after each atom.
Atoms (fractional coordinates):
Dy 0.0000 0.0000 0.0000  6 Th 3.28-3.36
Dy 0.5000 0.3367 0.8353  4 Th 3.62-3.64, 4 Dy 3.81-3.97, 6 Er 3.95-3.96
Dy 0.5000 0.8353 0.3367  4 Th 3.62-3.64, 4 Dy 3.81-3.97, 6 Er 3.95-3.96
Er 0.0000 0.1716 0.5000  6 Th 3.28-3.36
Er 0.0000 0.5000 0.1716  6 Th 3.28-3.36
Er 0.0000 0.6721 0.6721  6 Th 3.28-3.36
Th 0.5000 0.2035 0.2035  4 Dy 3.28-3.64, 4 Er 3.36, 1 Th 3.47
Th 0.5000 0.4682 0.4682  6 Er 3.28-3.36, 1 Th 3.47, 2 Dy 3.62
Th 0.5000 0.7033 0.9686  4 Er 3.28-3.36, 4 Dy 3.36-3.63, 1 Th 3.49
Th 0.5000 0.9686 0.7033  4 Er 3.28-3.36, 4 Dy 3.36-3.63, 1 Th 3.49

Record 2
## Dy8ErTh2 (PBE-GGA)

Data for Dy8ErTh2 after structural relaxation.

- excess energy over the best structure of this formula in the dataset (meV per atom) = 175.1
- total magnetic moment (μB/cell) = 0.004
- symmetry = C2/m, No. 12
- calculated total energy (eV for the cell shown) = -54.0
- E_form (kJ/mol of atoms) = 19.4

Cell: 9.1494 9.1494 5.9370 Å, 105.46 105.46 121.41°
With the nearest neighbours (Å) after each atom.
Atoms (fractional coordinates):
Dy 0.0999 0.3321 0.6729  4 Dy 3.23-3.56, 2 Th 3.44-3.45
Dy 0.2091 0.7909 0.0000  1 Er 3.34, 2 Th 3.35, 6 Dy 3.56-3.72
Dy 0.3321 0.0999 0.6729  4 Dy 3.23-3.56, 2 Th 3.44-3.45
Dy 0.4229 0.4229 0.2045  3 Dy 2.99-3.23, 1 Er 3.29
Dy 0.5771 0.5771 0.7955  3 Dy 2.99-3.23, 1 Er 3.29
Dy 0.6679 0.9001 0.3271  4 Dy 3.23-3.56, 2 Th 3.44-3.45
Dy 0.7909 0.2091 0.0000  1 Er 3.34, 2 Th 3.35, 6 Dy 3.56-3.72
Dy 0.9001 0.6679 0.3271  4 Dy 3.23-3.56, 2 Th 3.44-3.45
Er 0.0000 0.0000 0.0000  4 Dy 3.29-3.34
Th 0.3061 0.6939 0.5000  8 Dy 3.35-3.45
Th 0.6939 0.3061 0.5000  8 Dy 3.35-3.45

Record 3
## Dy4Er5Th2 (PBE-GGA)

Data for Dy4Er5Th2 after structural relaxation.

- excess energy over the best structure of this formula in the dataset (meV per atom) = 0.0
- total magnetic moment (μB/cell) = 0.000
- symmetry = P-1, No. 2
- calculated total energy (eV for the cell shown) = -55.5
- E_form (kJ/mol of atoms) = 5.1

Cell: 3.5205 8.8043 11.1442 Å, 89.07 89.34 89.80°
With the nearest neighbours (Å) after each atom.
Atoms (fractional coordinates):
Dy 0.2128 0.0852 0.2387  5 Er 3.17-3.52, 1 Th 3.43, 2 Dy 3.52
Dy 0.2495 0.2690 0.7038  6 Er 3.41-3.77, 2 Th 3.49-3.52, 4 Dy 3.52-3.69
Dy 0.7505 0.7310 0.2962  6 Er 3.41-3.77, 2 Th 3.49-3.52, 4 Dy 3.52-3.69
Dy 0.7872 0.9148 0.7613  5 Er 3.17-3.52, 1 Th 3.43, 2 Dy 3.52
Er 0.2341 0.6409 0.5869  5 Er 3.42-3.67, 5 Dy 3.48-3.77, 2 Th 3.58-3.68
Er 0.2558 0.8195 0.0216  5 Dy 3.39-3.61, 3 Th 3.44-3.51, 4 Er 3.52-3.67
Er 0.5000 0.0000 0.5000  4 Dy 3.17-3.41, 4 Er 3.42-3.52
Er 0.7442 0.1805 0.9784  5 Dy 3.39-3.61, 3 Th 3.44-3.51, 4 Er 3.52-3.67
Er 0.7659 0.3591 0.4131  5 Er 3.42-3.67, 5 Dy 3.48-3.77, 2 Th 3.58-3.68
Th 0.2483 0.4547 0.1373  3 Dy 3.43-3.52, 5 Er 3.44-3.68, 4 Th 3.52-3.62
Th 0.7517 0.5453 0.8627  3 Dy 3.43-3.52, 5 Er 3.44-3.68, 4 Th 3.52-3.62

Record 4
## DyEr8Th4 (PBE-GGA)

Data for DyEr8Th4 after structural relaxation.

- total magnetic moment (μB/cell) = 0.001
- symmetry = R-3m, No. 166
- calculated total energy (eV for the cell shown) = -67.9
- E_form (kJ/mol of atoms) = 21.7

Cell: 9.7736 9.7736 9.7736 Å, 44.16 44.16 44.16°
With the nearest neighbours (Å) after each atom.
Atoms (fractional coordinates):
Dy 0.0000 0.0000 0.0000  6 Er 2.92
Er 0.2508 0.2508 0.6894  1 Dy 2.92, 2 Er 3.22
Er 0.2508 0.6894 0.2508  1 Dy 2.92, 2 Er 3.22
Er 0.2797 0.2797 0.2797  9 Er 3.61-3.69, 3 Th 3.66
Er 0.3106 0.7492 0.7492  1 Dy 2.92, 2 Er 3.22
Er 0.6894 0.2508 0.2508  1 Dy 2.92, 2 Er 3.22
Er 0.7203 0.7203 0.7203  9 Er 3.61-3.69, 3 Th 3.66
Er 0.7492 0.3106 0.7492  1 Dy 2.92, 2 Er 3.22
Er 0.7492 0.7492 0.3106  1 Dy 2.92, 2 Er 3.22
Th 0.0000 0.0000 0.5000  6 Er 3.54-3.66, 6 Th 3.67
Th 0.0000 0.5000 0.0000  6 Er 3.54-3.66, 6 Th 3.67
Th 0.5000 0.0000 0.0000  6 Er 3.54-3.66, 6 Th 3.67
Th 0.5000 0.5000 0.5000  6 Er 3.30, 6 Th 3.67

Record 5
## DyEr2Th (PBE-GGA)

Data for DyEr2Th after structural relaxation.

- excess energy over the best structure of this formula in the dataset (meV per atom) = 30.4
- total magnetic moment (μB/cell) = 0.000
- symmetry = R-3m, No. 166
- calculated total energy (eV for the cell shown) = -21.1
- E_form (kJ/mol of atoms) = 2.1

Cell: 11.6200 11.6200 11.6200 Å, 17.57 17.57 17.57°
With the nearest neighbours (Å) after each atom.
Atoms (fractional coordinates):
Dy 0.0000 0.0000 0.0000  6 Er 3.55, 6 Dy 3.55
Er 0.2489 0.2489 0.2489  3 Th 3.49, 3 Dy 3.55, 6 Er 3.55
Er 0.7511 0.7511 0.7511  3 Th 3.49, 3 Dy 3.55, 6 Er 3.55
Th 0.5000 0.5000 0.5000  6 Er 3.49, 6 Th 3.55

Record 6
## Dy3Er6Th2 (PBE-GGA)

Data for Dy3Er6Th2 after structural relaxation.

- total magnetic moment (μB/cell) = 0.000
- symmetry = C2/m, No. 12
- calculated total energy (eV for the cell shown) = -53.7
- E_form (kJ/mol of atoms) = 20.5

Cell: 6.0797 6.0797 11.4891 Å, 95.13 95.13 120.10°
With the nearest neighbours (Å) after each atom.
Atoms (fractional coordinates):
Dy 0.0000 0.0000 0.0000  6 Dy 3.50-3.53, 6 Er 3.50
Dy 0.3349 0.6651 0.0000  6 Dy 3.48-3.53, 6 Er 3.49-3.51
Dy 0.6651 0.3349 0.0000  6 Dy 3.48-3.53, 6 Er 3.49-3.51
Er 0.0845 0.4176 0.2533  2 Th 3.45, 6 Er 3.50-3.51, 3 Dy 3.50-3.51
Er 0.2485 0.2485 0.7471  2 Th 3.44, 3 Dy 3.49-3.50, 6 Er 3.50-3.51
Er 0.4176 0.0845 0.2533  2 Th 3.45, 6 Er 3.50-3.51, 3 Dy 3.50-3.51
Er 0.5824 0.9155 0.7467  2 Th 3.45, 6 Er 3.50-3.51, 3 Dy 3.50-3.51
Er 0.7515 0.7515 0.2529  2 Th 3.44, 3 Dy 3.49-3.50, 6 Er 3.50-3.51
Er 0.9155 0.5824 0.7467  2 Th 3.45, 6 Er 3.50-3.51, 3 Dy 3.50-3.51
Th 0.1653 0.8347 0.5000  6 Er 3.44-3.45, 3 Th 3.48-3.52
Th 0.8347 0.1653 0.5000  6 Er 3.44-3.45, 3 Th 3.48-3.52

Record 7
## Dy3ErTh2 (PBE-GGA)

Data for Dy3ErTh2 after structural relaxation.

- total magnetic moment (μB/cell) = 0.000
- symmetry = Cmcm, No. 63
- calculated total energy (eV for the cell shown) = -59.7
- E_form (kJ/mol of atoms) = 54.0

Cell: 6.6668 6.6668 11.3079 Å, 90.00 90.00 117.58°
With the nearest neighbours (Å) after each atom.
Atoms (fractional coordinates):
Dy 0.0024 0.9976 0.7500  4 Th 3.32, 4 Dy 3.33, 2 Er 3.45
Dy 0.0026 0.4976 0.7500  4 Dy 3.33-3.46, 2 Er 3.33
Dy 0.4976 0.0026 0.2500  4 Dy 3.33-3.46, 2 Er 3.33
Dy 0.5024 0.9974 0.7500  4 Dy 3.33-3.46, 2 Er 3.33
Dy 0.9974 0.5024 0.2500  4 Dy 3.33-3.46, 2 Er 3.33
Dy 0.9976 0.0024 0.2500  4 Th 3.32, 4 Dy 3.33, 2 Er 3.45
Er 0.4975 0.5025 0.2500  4 Th 3.31, 6 Dy 3.33-3.45
Er 0.5025 0.4975 0.7500  4 Th 3.31, 6 Dy 3.33-3.45
Th 0.2521 0.2521 0.0000  2 Er 3.31, 2 Dy 3.32, 2 Th 3.43-3.48
Th 0.2521 0.2521 0.5000  2 Er 3.31, 2 Dy 3.32, 2 Th 3.43-3.48
Th 0.7479 0.7479 0.0000  2 Er 3.31, 2 Dy 3.32, 2 Th 3.43-3.48
Th 0.7479 0.7479 0.5000  2 Er 3.31, 2 Dy 3.32, 2 Th 3.43-3.48

Record 8
## Dy2Er4Th3 (PBE-GGA)

Data for Dy2Er4Th3 after structural relaxation.

- total magnetic moment (μB/cell) = 0.000
- symmetry = P3m1, No. 156
- calculated total energy (eV for the cell shown) = -49.0
- E_form (kJ/mol of atoms) = 7.7

Cell: 3.5440 3.5440 26.2975 Å, 90.00 90.00 120.00°
With the nearest neighbours (Å) after each atom.
Atoms (fractional coordinates):
Dy 0.0000 0.0000 0.0000  3 Er 3.50, 6 Dy 3.54, 3 Th 3.60
Dy 0.0000 0.0000 0.2202  1 Er 3.31, 3 Th 3.49, 6 Dy 3.54
Er 0.0000 0.0000 0.3463  1 Dy 3.31, 3 Th 3.48, 6 Er 3.54
Er 0.0000 0.0000 0.5652  9 Er 3.47-3.54, 3 Th 3.59
Er 0.3333 0.6667 0.6718  9 Er 3.47-3.54, 3 Th 3.55
Er 0.3333 0.6667 0.8921  3 Dy 3.50, 6 Er 3.54, 3 Th 3.54
Th 0.0000 0.0000 0.7821  6 Th 3.54, 6 Er 3.54-3.55
Th 0.3333 0.6667 0.1126  6 Dy 3.49-3.60, 6 Th 3.54
Th 0.3333 0.6667 0.4533  6 Er 3.48-3.59, 6 Th 3.54

Record 9
## Dy3Er4Th2 (PBE-GGA)

Data for Dy3Er4Th2 after structural relaxation.

- total magnetic moment (μB/cell) = 0.001
- symmetry = C2/c, No. 15
- calculated total energy (eV for the cell shown) = -91.6
- E_form (kJ/mol of atoms) = 11.6

Cell: 9.9495 9.9495 6.0706 Å, 96.28 96.28 71.39°
With the nearest neighbours (Å) after each atom.
Atoms (fractional coordinates):
Dy 0.1097 0.8903 0.7500  6 Th 3.38-3.66, 4 Er 3.43-3.52
Dy 0.2257 0.4414 0.9127  8 Er 3.37-3.71, 2 Th 3.46-3.54
Dy 0.4414 0.2257 0.4127  8 Er 3.37-3.71, 2 Th 3.46-3.54
Dy 0.5586 0.7743 0.5873  8 Er 3.37-3.71, 2 Th 3.46-3.54
Dy 0.7743 0.5586 0.0873  8 Er 3.37-3.71, 2 Th 3.46-3.54
Dy 0.8903 0.1097 0.2500  6 Th 3.38-3.66, 4 Er 3.43-3.52
Er 0.0839 0.3539 0.3476  2 Er 3.33-3.72, 5 Dy 3.37-3.69, 3 Th 3.46-3.57
Er 0.3152 0.5856 0.4798  1 Th 3.28, 4 Dy 3.39-3.48, 3 Er 3.40-3.52
Er 0.3539 0.0839 0.8476  2 Er 3.33-3.72, 5 Dy 3.37-3.69, 3 Th 3.46-3.57
Er 0.4144 0.6848 0.0202  1 Th 3.28, 4 Dy 3.39-3.48, 3 Er 3.40-3.52
Er 0.5856 0.3152 0.9798  1 Th 3.28, 4 Dy 3.39-3.48, 3 Er 3.40-3.52
Er 0.6461 0.9161 0.1524  2 Er 3.33-3.72, 5 Dy 3.37-3.69, 3 Th 3.46-3.57
Er 0.6848 0.4144 0.5202  1 Th 3.28, 4 Dy 3.39-3.48, 3 Er 3.40-3.52
Er 0.9161 0.6461 0.6524  2 Er 3.33-3.72, 5 Dy 3.37-3.69, 3 Th 3.46-3.57
Th 0.0222 0.7505 0.1887  4 Er 3.28-3.57, 5 Dy 3.38-3.66, 1 Th 3.65
Th 0.2495 0.9778 0.3113  4 Er 3.28-3.57, 5 Dy 3.38-3.66, 1 Th 3.65
Th 0.7505 0.0222 0.6887  4 Er 3.28-3.57, 5 Dy 3.38-3.66, 1 Th 3.65
Th 0.9778 0.2495 0.8113  4 Er 3.28-3.57, 5 Dy 3.38-3.66, 1 Th 3.65

Record 10
## Dy4Er15Th (PBE-GGA)

Data for Dy4Er15Th after structural relaxation.

- total magnetic moment (μB/cell) = 0.000
- symmetry = P4/mmm, No. 123
- calculated total energy (eV for the cell shown) = -93.8
- E_form (kJ/mol of atoms) = 2.4

Cell: 4.9835 4.9835 24.8052 Å, 90.00 90.00 90.00°
With the nearest neighbours (Å) after each atom.
Atoms (fractional coordinates):
Dy 0.0000 0.0000 0.0999  12 Er 3.51-3.52
Dy 0.0000 0.0000 0.3002  12 Er 3.52
Dy 0.0000 0.0000 0.6998  12 Er 3.52
Dy 0.0000 0.0000 0.9001  12 Er 3.51-3.52
Er 0.0000 0.5000 0.0000  4 Dy 3.51, 8 Er 3.52
Er 0.0000 0.5000 0.2001  8 Er 3.50-3.52, 4 Dy 3.52
Er 0.0000 0.5000 0.4007  8 Er 3.50-3.54, 2 Th 3.50, 2 Dy 3.52
Er 0.0000 0.5000 0.5993  8 Er 3.50-3.54, 2 Th 3.50, 2 Dy 3.52
Er 0.0000 0.5000 0.7999  8 Er 3.50-3.52, 4 Dy 3.52
Er 0.5000 0.0000 0.0000  4 Dy 3.51, 8 Er 3.52
Er 0.5000 0.0000 0.2001  8 Er 3.50-3.52, 4 Dy 3.52
Er 0.5000 0.0000 0.4007  8 Er 3.50-3.54, 2 Th 3.50, 2 Dy 3.52
Er 0.5000 0.0000 0.5993  8 Er 3.50-3.54, 2 Th 3.50, 2 Dy 3.52
Er 0.5000 0.0000 0.7999  8 Er 3.50-3.52, 4 Dy 3.52
Er 0.5000 0.5000 0.1001  8 Er 3.52, 4 Dy 3.52
Er 0.5000 0.5000 0.2991  8 Er 3.50-3.54, 4 Dy 3.52
Er 0.5000 0.5000 0.5000  8 Er 3.50, 4 Th 3.52
Er 0.5000 0.5000 0.7009  8 Er 3.50-3.54, 4 Dy 3.52
Er 0.5000 0.5000 0.8999  8 Er 3.52, 4 Dy 3.52
Th 0.0000 0.0000 0.5000  12 Er 3.50-3.52